# MgSb2CI, optimized geometry, DFT PBE
data_MgSb2CI
_symmetry_space_group_name_H-M 'P 4/m m m'
_symmetry_Int_Tables_number 123
_symmetry_space_group_name_Hall '-P 4 2'
_cell_length_a 4.808
_cell_length_b 4.808
_cell_length_c 5.102
_cell_angle_alpha 90.00
_cell_angle_beta 90.00
_cell_angle_gamma 90.00
loop_
_atom_site_label
_atom_site_fract_x
_atom_site_fract_y
_atom_site_fract_z
_atom_site_occupancy
Mg1 0.000 0.000 0.000 1
Sb1 0.000 0.500 0.500 1
C1 0.500 0.500 0.500 1
I1 0.500 0.500 0.000 1
# E_tot: -16.02 eV/f.u.